No. 1
# Li4Co2F9, relaxed, DFT PBE with a Hubbard U
data_Li4Co2F9
_cell_length_a 5.094
_cell_length_b 5.104
_cell_length_c 13.933
_cell_angle_alpha 90.06
_cell_angle_beta 90.31
_cell_angle_gamma 59.73
_space_group_name_H-M_alt 'P 1'
_space_group_IT_number 1
_space_group_name_Hall 'P 1'
loop_
_atom_site_label
_atom_site_type_symbol
_atom_site_fract_x
_atom_site_fract_y
_atom_site_fract_z
F1 F 0.300 0.004 0.251
F2 F 0.708 0.295 0.251
F3 F 0.671 0.352 0.916
F4 F 0.292 0.705 0.749
F5 F 0.700 0.996 0.749
F6 F 0.347 0.978 0.916
F7 F 0.970 0.350 0.415
F8 F 0.975 0.668 0.914
F9 F 0.329 0.648 0.084
F10 F 0.030 0.650 0.585
F11 F 0.001 0.706 0.252
F12 F 0.677 0.975 0.417
F13 F 0.657 0.325 0.586
F14 F 0.343 0.675 0.414
F15 F 0.025 0.332 0.086
F16 F 0.323 0.025 0.583
F17 F 0.999 0.294 0.748
F18 F 0.653 0.022 0.084
Li1 Li 0.331 0.328 0.683
Li2 Li 0.667 0.671 0.517
Li3 Li 0.668 0.667 0.016
Li4 Li 0.333 0.329 0.483
Li5 Li 0.332 0.333 0.984
Li6 Li 0.664 0.667 0.819
Li7 Li 0.669 0.672 0.317
Li8 Li 0.336 0.333 0.181
Co1 Co 0.999 0.999 0.648
Co2 Co 0.001 0.001 0.352
Co3 Co 0.996 0.000 0.855
Co4 Co 0.004 0.000 0.145
# Total magnetization: 7.0 μB/f.u.
# SG: No. 2

No. 2
# Li3CoF, relaxed, DFT PBE with a Hubbard U
data_Li3CoF
_cell_length_a 4.090
_cell_length_b 4.090
_cell_length_c 4.090
_cell_angle_alpha 90.00
_cell_angle_beta 90.00
_cell_angle_gamma 90.00
_space_group_name_H-M_alt 'P 1'
_space_group_IT_number 1
_space_group_name_Hall 'P 1'
loop_
_atom_site_label
_atom_site_type_symbol
_atom_site_fract_x
_atom_site_fract_y
_atom_site_fract_z
Co1 Co 0.500 0.500 0.500
F1 F 0.000 0.000 0.000
Li1 Li 0.000 0.500 0.000
Li2 Li 0.500 0.000 0.000
Li3 Li 0.000 0.000 0.500
# Total magnetization: 1.9 μB/f.u.
# Polymorph energy (0 for the lowest one): 0.000 eV/atom
# SG: No. 221

No. 3
# LiCoF4, relaxed, DFT PBE with a Hubbard U
data_LiCoF4
_cell_length_a 4.741
_cell_length_b 5.565
_cell_length_c 5.571
_cell_angle_alpha 64.16
_cell_angle_beta 90.00
_cell_angle_gamma 90.00
_space_group_name_H-M_alt 'P 1'
_space_group_IT_number 1
_space_group_name_Hall 'P 1'
loop_
_atom_site_label
_atom_site_type_symbol
_atom_site_fract_x
_atom_site_fract_y
_atom_site_fract_z
Co1 Co 0.500 0.000 0.500
Co2 Co 0.000 0.000 0.000
Li1 Li 0.500 0.500 0.000
Li2 Li 0.000 0.500 0.500
F1 F 0.795 0.144 0.681
F2 F 0.177 0.322 0.871
F3 F 0.823 0.678 0.129
F4 F 0.323 0.322 0.371
F5 F 0.677 0.678 0.629
F6 F 0.705 0.144 0.181
F7 F 0.295 0.856 0.819
F8 F 0.205 0.856 0.319
# Total magnetization: 2.0 μB/f.u.
# SG: No. 14

No. 4
# LiCoF2, relaxed, DFT PBE with a Hubbard U
data_LiCoF2
_cell_length_a 5.795
_cell_length_b 5.795
_cell_length_c 5.795
_cell_angle_alpha 34.20
_cell_angle_beta 34.20
_cell_angle_gamma 34.20
_space_group_name_H-M_alt 'P 1'
_space_group_IT_number 1
_space_group_name_Hall 'P 1'
loop_
_atom_site_label
_atom_site_type_symbol
_atom_site_fract_x
_atom_site_fract_y
_atom_site_fract_z
Li1 Li 0.000 0.000 0.000
Co1 Co 0.500 0.500 0.500
F1 F 0.109 0.109 0.109
F2 F 0.891 0.891 0.891
# Total magnetization: 2.1 μB/f.u.
# Polymorph energy (0 for the lowest one): 0.232 eV/atom
# SG: No. 166

No. 5
# LiCoF2, relaxed, DFT PBE with a Hubbard U
data_LiCoF2
_cell_length_a 6.176
_cell_length_b 6.176
_cell_length_c 6.176
_cell_angle_alpha 27.94
_cell_angle_beta 27.94
_cell_angle_gamma 27.94
_space_group_name_H-M_alt 'P 1'
_space_group_IT_number 1
_space_group_name_Hall 'P 1'
loop_
_atom_site_label
_atom_site_type_symbol
_atom_site_fract_x
_atom_site_fract_y
_atom_site_fract_z
Li1 Li 0.500 0.500 0.500
F1 F 0.105 0.105 0.105
F2 F 0.895 0.895 0.895
Co1 Co 0.000 0.000 0.000
# Total magnetization: 2.0 μB/f.u.
# Polymorph energy (0 for the lowest one): 0.000 eV/atom
# SG: No. 166

No. 6
# LiCo2F4, relaxed, DFT PBE with a Hubbard U
data_LiCo2F4
_cell_length_a 3.160
_cell_length_b 5.641
_cell_length_c 5.331
_cell_angle_alpha 122.10
_cell_angle_beta 107.24
_cell_angle_gamma 90.00
_space_group_name_H-M_alt 'P 1'
_space_group_IT_number 1
_space_group_name_Hall 'P 1'
loop_
_atom_site_label
_atom_site_type_symbol
_atom_site_fract_x
_atom_site_fract_y
_atom_site_fract_z
F1 F 0.886 0.593 0.771
F2 F 0.650 0.022 0.300
F3 F 0.114 0.407 0.229
F4 F 0.350 0.978 0.700
Li1 Li 0.000 0.000 0.000
Co1 Co 0.667 0.672 0.334
Co2 Co 0.333 0.328 0.666
# Total magnetization: 5.0 μB/f.u.
# SG: No. 12

| no. | total energy (eV per cell) |
| --- | --- |
| 1 | -144.6 |
| 2 | -16.6 |
| 3 | -55.7 |
| 4 | -17.5 |
| 5 | -18.4 |
| 6 | -33.3 |